Record 1
Compound: AsP2Au
Source: Alexandria
Functional: GGA-PBE
Structure: optimized geometry

Results
Its space group is P1, No. 1. The total energy comes out at -18.26 eV per formula unit.

a = 3.7967 Å, b = 5.0076 Å, c = 5.8119 Å
α = 66.52°, β = 86.18°, γ = 78.80°
Closest atoms and distances in Å follow each position.
Fractional positions:
P: 0.4027 0.9560 0.5703  1 P 2.19, 1 Au 2.34, 2 As 2.38-2.41
P: 0.6152 0.2390 0.2156  1 P 2.19, 1 Au 2.36, 1 As 2.37
As: 0.9619 0.7624 0.4328  3 P 2.37-2.41
Au: 0.4374 0.0856 0.9126  2 P 2.34-2.36



Record 2
Compound: CdOsBrCl
Source: Alexandria
Functional: GGA-PBE
Structure: optimized geometry

Results
Its space group is Pmm2, No. 25. The uncorrected formation energy comes out at 0.3209 eV per atom.

a = 3.0984 Å, b = 3.3154 Å, c = 8.4519 Å
α = 90.00°, β = 90.00°, γ = 90.00°
Closest atoms and distances in Å follow each position.
Fractional positions:
Cl: 0.0000 0.0000 0.5293  2 Cd 2.60
Os: 0.5000 0.0000 0.0682  2 Br 2.41
Br: 0.5000 0.5000 0.8608  2 Os 2.41
Cd: 0.0000 0.5000 0.2924  2 Cl 2.60



Ordered mass density results: 5576 7994; unit kg/m³.